# Re2PbBr | Alexandria via LeMat-Bulk | PBE | relaxed
# * total magnetization: 0.000 μB/atom
# * ρ: 14585 kg/m³
# * raw total energy: -0.223 hartree per atom
# * DOS at the Fermi energy: 4.0 states/eV/cell
# * space group: I-4m2
# * formation energy without anion corrections: 5.99 eV per formula unit
data_Re2PbBr
_chemical_formula_sum 'Re2 Pb1 Br1'
_symmetry_space_group_name_H-M 'P 1'
_symmetry_Int_Tables_number 1
_cell_length_a 4.955
_cell_length_b 4.955
_cell_length_c 4.955
_cell_angle_alpha 127.03
_cell_angle_beta 127.03
_cell_angle_gamma 78.20
loop_
_symmetry_equiv_pos_as_xyz
'x,y,z'
loop_
_atom_site_label
_atom_site_fract_x
_atom_site_fract_y
_atom_site_fract_z
Re1 0.000 0.000 0.000
Re2 0.750 0.250 0.500
Pb1 0.500 0.500 0.000
Br1 0.250 0.750 0.500

---

# La4ScCd3 | Alexandria via LeMat-Bulk | PBE | relaxed
# * total magnetization: 0.000 μB/atom
# * ρ: 6391 kg/m³
# * calculated formation energy: -0.205 eV per atom
# * raw total energy: -0.140 hartree per atom
# * DOS at the Fermi energy: 8.9 states/eV/cell
# * space group: I4/mmm
data_La4ScCd3
_chemical_formula_sum 'La4 Sc1 Cd3'
_symmetry_space_group_name_H-M 'P 1'
_symmetry_Int_Tables_number 1
_cell_length_a 8.719
_cell_length_b 8.719
_cell_length_c 8.719
_cell_angle_alpha 142.53
_cell_angle_beta 142.53
_cell_angle_gamma 54.03
loop_
_symmetry_equiv_pos_as_xyz
'x,y,z'
loop_
_atom_site_label
_atom_site_fract_x
_atom_site_fract_y
_atom_site_fract_z
La1 0.125 0.625 0.500
La2 0.375 0.875 0.500
La3 0.625 0.125 0.500
La4 0.875 0.375 0.500
Sc1 0.000 0.000 0.000
Cd1 0.247 0.247 0.000
Cd2 0.500 0.500 0.000
Cd3 0.753 0.753 0.000

---

# FeReP2Cl | Alexandria via LeMat-Bulk | PBE | relaxed
# * total magnetization: 0.344 μB/atom
# * ρ: 6533 kg/m³
# * raw total energy: -0.204 hartree per atom
# * DOS at the Fermi energy: 3.6 states/eV/cell
# * space group: P4/mmm
# * formation energy without anion corrections: 5.84 eV per formula unit
data_FeReP2Cl
_chemical_formula_sum 'Fe1 Re1 P2 Cl1'
_symmetry_space_group_name_H-M 'P 1'
_symmetry_Int_Tables_number 1
_cell_length_a 4.469
_cell_length_b 4.469
_cell_length_c 4.321
_cell_angle_alpha 90.00
_cell_angle_beta 90.00
_cell_angle_gamma 90.00
loop_
_symmetry_equiv_pos_as_xyz
'x,y,z'
loop_
_atom_site_label
_atom_site_fract_x
_atom_site_fract_y
_atom_site_fract_z
Fe1 0.000 0.000 0.000
Re1 0.500 0.500 0.500
P1 0.000 0.500 0.000
P2 0.500 0.000 0.000
Cl1 0.000 0.000 0.500

---

# Tb3Tm12Sc | Alexandria via LeMat-Bulk | PBE | relaxed
# * total magnetization: 0.000 μB/atom
# * ρ: 8825 kg/m³
# * calculated formation energy: 0.030 eV per atom
# * raw total energy: -0.169 hartree per atom
# * DOS at the Fermi energy: 22.2 states/eV/cell
# * space group: P4/mmm
data_Tb3Tm12Sc
_chemical_formula_sum 'Tb3 Tm12 Sc1'
_symmetry_space_group_name_H-M 'P 1'
_symmetry_Int_Tables_number 1
_cell_length_a 4.932
_cell_length_b 4.932
_cell_length_c 19.717
_cell_angle_alpha 90.00
_cell_angle_beta 90.00
_cell_angle_gamma 90.00
loop_
_symmetry_equiv_pos_as_xyz
'x,y,z'
loop_
_atom_site_label
_atom_site_fract_x
_atom_site_fract_y
_atom_site_fract_z
Tb1 0.000 0.000 0.000
Tb2 0.000 0.000 0.252
Tb3 0.000 0.000 0.748
Tm1 0.000 0.500 0.126
Tm2 0.000 0.500 0.379
Tm3 0.000 0.500 0.621
Tm4 0.000 0.500 0.874
Tm5 0.500 0.000 0.126
Tm6 0.500 0.000 0.379
Tm7 0.500 0.000 0.621
Tm8 0.500 0.000 0.874
Tm9 0.500 0.500 0.000
Tm10 0.500 0.500 0.253
Tm11 0.500 0.500 0.500
Tm12 0.500 0.500 0.747
Sc1 0.000 0.000 0.500

---

# Np2PaNi2S6 | Alexandria via LeMat-Bulk | PBE | relaxed
# * total magnetization: 0.637 μB/atom
# * ρ: 7162 kg/m³
# * raw total energy: -0.277 hartree per atom
# * DOS at the Fermi energy: 20.7 states/eV/cell
# * space group: C2/m
# * formation energy without anion corrections: -11.26 eV per formula unit
data_Np2PaNi2S6
_chemical_formula_sum 'Np2 Pa1 Ni2 S6'
_symmetry_space_group_name_H-M 'P 1'
_symmetry_Int_Tables_number 1
_cell_length_a 6.494
_cell_length_b 6.494
_cell_length_c 7.036
_cell_angle_alpha 112.75
_cell_angle_beta 112.75
_cell_angle_gamma 62.79
loop_
_symmetry_equiv_pos_as_xyz
'x,y,z'
loop_
_atom_site_label
_atom_site_fract_x
_atom_site_fract_y
_atom_site_fract_z
Np1 0.228 0.228 0.160
Np2 0.772 0.772 0.840
Pa1 0.000 0.000 0.500
Ni1 0.462 0.462 0.652
Ni2 0.538 0.538 0.348
S1 0.170 0.675 0.165
S2 0.248 0.248 0.559
S3 0.325 0.830 0.835
S4 0.675 0.170 0.165
S5 0.752 0.752 0.441
S6 0.830 0.325 0.835

---

# Pm4SmEr3S8 | Alexandria via LeMat-Bulk | PBE | relaxed
# * total magnetization: 0.000 μB/atom
# * ρ: 6988 kg/m³
# * raw total energy: -0.235 hartree per atom
# * DOS at the Fermi energy: 7.8 states/eV/cell
# * space group: R-3m
# * formation energy without anion corrections: -32.02 eV per formula unit
data_Pm4SmEr3S8
_chemical_formula_sum 'Pm4 Sm1 Er3 S8'
_symmetry_space_group_name_H-M 'P 1'
_symmetry_Int_Tables_number 1
_cell_length_a 7.979
_cell_length_b 7.979
_cell_length_c 7.979
_cell_angle_alpha 59.34
_cell_angle_beta 59.34
_cell_angle_gamma 59.34
loop_
_symmetry_equiv_pos_as_xyz
'x,y,z'
loop_
_atom_site_label
_atom_site_fract_x
_atom_site_fract_y
_atom_site_fract_z
Pm1 0.000 0.000 0.000
Pm2 0.000 0.500 0.500
Pm3 0.500 0.000 0.500
Pm4 0.500 0.500 0.000
Sm1 0.500 0.500 0.500
Er1 0.000 0.000 0.500
Er2 0.000 0.500 0.000
Er3 0.500 0.000 0.000
S1 0.239 0.749 0.749
S2 0.244 0.244 0.244
S3 0.251 0.251 0.761
S4 0.251 0.761 0.251
S5 0.749 0.239 0.749
S6 0.749 0.749 0.239
S7 0.756 0.756 0.756
S8 0.761 0.251 0.251

---

# LiEuTcO3 | Alexandria via LeMat-Bulk | PBE | relaxed
# * total magnetization: 1.101 μB/atom
# * ρ: 4521 kg/m³
# * raw total energy: -0.283 hartree per atom
# * DOS at the Fermi energy: 14.2 states/eV/cell
# * space group: P4/mmm
# * formation energy without anion corrections: -8.76 eV per formula unit
data_LiEuTcO3
_chemical_formula_sum 'Li1 Eu1 Tc1 O3'
_symmetry_space_group_name_H-M 'P 1'
_symmetry_Int_Tables_number 1
_cell_length_a 3.781
_cell_length_b 3.781
_cell_length_c 7.832
_cell_angle_alpha 90.00
_cell_angle_beta 90.00
_cell_angle_gamma 90.00
loop_
_symmetry_equiv_pos_as_xyz
'x,y,z'
loop_
_atom_site_label
_atom_site_fract_x
_atom_site_fract_y
_atom_site_fract_z
Li1 0.000 0.000 0.000
Eu1 0.000 0.000 0.500
Tc1 0.500 0.500 0.000
O1 0.000 0.500 0.000
O2 0.500 0.000 0.000
O3 0.500 0.500 0.500

---

# AcHoSn2 | Alexandria via LeMat-Bulk | PBE | relaxed
# * total magnetization: 0.000 μB/atom
# * ρ: 8046 kg/m³
# * calculated formation energy: -0.595 eV per atom
# * raw total energy: -0.175 hartree per atom
# * DOS at the Fermi energy: 3.2 states/eV/cell
# * space group: C2/m
data_AcHoSn2
_chemical_formula_sum 'Ac1 Ho1 Sn2'
_symmetry_space_group_name_H-M 'P 1'
_symmetry_Int_Tables_number 1
_cell_length_a 5.249
_cell_length_b 5.249
_cell_length_c 6.357
_cell_angle_alpha 110.26
_cell_angle_beta 110.26
_cell_angle_gamma 53.57
loop_
_symmetry_equiv_pos_as_xyz
'x,y,z'
loop_
_atom_site_label
_atom_site_fract_x
_atom_site_fract_y
_atom_site_fract_z
Ac1 0.000 0.000 0.000
Ho1 0.500 0.500 0.500
Sn1 0.237 0.237 0.694
Sn2 0.763 0.763 0.306